No. 1
## TcSeS2Cl (PBE)

Data for crystalline TcSeS2Cl at its relaxed geometry.

a b c (Å): 4.915 4.915 4.729
angles (deg): 90.00 90.00 90.00
Last column: magnetic moment on the atom in μB.
Element x y z (fractional)
S 0.000 0.500 0.000  0.11
S 0.500 0.000 0.000  0.11
Tc 0.500 0.500 0.500  4.06
Se 0.000 0.000 0.000  0.00
Cl 0.000 0.000 0.500  0.04

Summary:
Its raw formation energy is 961 meV per atom. As for the crystal system: tetragonal. As for the total energy: -3.830 eV per atom. Its symmetry is P4/mmm (123). Its energy above the most stable polymorph in this dataset is 635 meV per atom.



No. 2
## LiFeP (PBE)

Data for crystalline LiFeP at its relaxed geometry.

a b c (Å): 6.391 3.601 6.340
angles (deg): 90.00 90.00 90.00
Element x y z (fractional)
P 0.797 0.250 0.130
P 0.703 0.750 0.630
P 0.203 0.750 0.870
P 0.297 0.250 0.370
Fe 0.138 0.250 0.059
Fe 0.362 0.750 0.559
Fe 0.862 0.750 0.941
Fe 0.638 0.250 0.441
Li 0.016 0.250 0.656
Li 0.484 0.750 0.156
Li 0.984 0.750 0.344
Li 0.516 0.250 0.844

Summary:
For the formation energy, the calculation gives -0.595 eV per atom. As for the crystal system: orthorhombic. As for the total energy: -5.857 eV per atom. Its symmetry is Pnma (62).



No. 3
## MnCo2NiSe6 (PBE)

Data for crystalline MnCo2NiSe6 at its relaxed geometry.

a b c (Å): 6.151 7.874 7.874
angles (deg): 95.65 77.02 77.02
Last column: magnetic moment on the atom in μB.
Element x y z (fractional)
Mn 0.250 0.921 0.079  2.84
Mn 0.750 0.079 0.921  2.84
Co 0.277 0.709 0.532  -0.16
Co 0.223 0.468 0.291  -0.16
Co 0.723 0.291 0.468  -0.16
Co 0.777 0.532 0.709  -0.16
Ni 0.250 0.227 0.773  -0.06
Ni 0.750 0.773 0.227  -0.06
Se 0.164 0.936 0.783  -0.05
Se 0.336 0.217 0.064  -0.05
Se 0.836 0.064 0.217  -0.05
Se 0.664 0.783 0.936  -0.05
Se 0.358 0.922 0.358  -0.05
Se 0.142 0.642 0.078  -0.05
Se 0.642 0.078 0.642  -0.05
Se 0.858 0.358 0.922  -0.05
Se 0.922 0.694 0.492  0.00
Se 0.578 0.508 0.306  0.00
Se 0.078 0.306 0.508  0.00
Se 0.422 0.492 0.694  0.00

Summary:
Its raw formation energy is -252 meV per atom. As for the crystal system: monoclinic. As for the total energy: -5.259 eV per atom. Its symmetry is C2/c (15).



No. 4
## AcLa2Ir2I2 (PBE)

Data for crystalline AcLa2Ir2I2 at its relaxed geometry.

a b c (Å): 5.434 5.434 9.272
angles (deg): 107.04 107.04 90.00
Element x y z (fractional)
Ac 0.000 0.000 0.000
La 0.398 0.398 0.796
La 0.602 0.602 0.204
Ir 0.000 0.500 0.000
Ir 0.500 0.000 0.000
I 0.200 0.200 0.401
I 0.800 0.800 0.599

Summary:
Its raw formation energy is -601 meV per atom. As for the crystal system: tetragonal. As for the total energy: -5.571 eV per atom. Its symmetry is I4/mmm (139).



No. 5
## AcY12Co6 (PBE)

Data for crystalline AcY12Co6 at its relaxed geometry.

a b c (Å): 8.568 8.568 8.568
angles (deg): 109.47 109.47 109.47
Element x y z (fractional)
Ac 0.000 0.000 0.000
Y 0.312 0.117 0.805
Y 0.312 0.507 0.195
Y 0.688 0.493 0.805
Y 0.688 0.883 0.195
Y 0.117 0.805 0.312
Y 0.507 0.195 0.312
Y 0.493 0.805 0.688
Y 0.883 0.195 0.688
Y 0.805 0.312 0.117
Y 0.195 0.312 0.507
Y 0.805 0.688 0.493
Y 0.195 0.688 0.883
Co 0.388 0.500 0.888
Co 0.612 0.500 0.112
Co 0.500 0.888 0.388
Co 0.500 0.112 0.612
Co 0.888 0.388 0.500
Co 0.112 0.612 0.500

Summary:
For the formation energy, the calculation gives -0.115 eV per atom. As for the crystal system: cubic. As for the total energy: -6.658 eV per atom. Its symmetry is Im-3 (204).



No. 6
## Tb3HoTe6 (PBE)

Data for crystalline Tb3HoTe6 at its relaxed geometry.

a b c (Å): 7.327 8.080 11.205
angles (deg): 90.00 90.34 90.00
Element x y z (fractional)
Tb 0.553 0.879 0.749
Tb 0.500 0.500 0.000
Tb 0.447 0.121 0.251
Tb 0.053 0.621 0.249
Tb 0.000 0.000 0.500
Tb 0.947 0.379 0.751
Ho 0.500 0.500 0.500
Ho 0.000 0.000 0.000
Te 0.663 0.174 0.918
Te 0.661 0.175 0.581
Te 0.666 0.448 0.251
Te 0.334 0.552 0.749
Te 0.339 0.825 0.419
Te 0.337 0.826 0.082
Te 0.163 0.326 0.418
Te 0.161 0.325 0.081
Te 0.166 0.052 0.751
Te 0.834 0.948 0.249
Te 0.839 0.675 0.919
Te 0.837 0.674 0.582

Summary:
Its raw formation energy is -1350 meV per atom. As for the crystal system: monoclinic. As for the total energy: -5.082 eV per atom. Its symmetry is P2_1/c (14). Its energy above the most stable polymorph in this dataset is 0 meV per atom.



No. 7
## Ca3InPb2 (PBE)

Data for crystalline Ca3InPb2 at its relaxed geometry.

a b c (Å): 3.887 3.887 11.899
angles (deg): 90.00 90.00 90.00
Element x y z (fractional)
Ca 0.000 0.000 0.000
Ca 0.000 0.000 0.660
Ca 0.000 0.000 0.340
In 0.500 0.500 0.500
Pb 0.500 0.500 0.826
Pb 0.500 0.500 0.174

Summary:
For the formation energy, the calculation gives -0.506 eV per atom. As for the crystal system: tetragonal. As for the total energy: -3.200 eV per atom. Its symmetry is P4/mmm (123). Its energy above the most stable polymorph in this dataset is 0 meV per atom.



No. 8
## Nd3Ho2Er2 (PBE)

Data for crystalline Nd3Ho2Er2 at its relaxed geometry.

a b c (Å): 3.514 8.546 8.951
angles (deg): 118.07 101.32 90.00
Element x y z (fractional)
Nd 0.000 0.500 0.000
Nd 0.213 0.798 0.427
Nd 0.787 0.202 0.573
Ho 0.564 0.910 0.129
Ho 0.436 0.090 0.871
Er 0.857 0.678 0.713
Er 0.143 0.322 0.287

Summary:
For the formation energy, the calculation gives 0.114 eV per atom. As for the crystal system: monoclinic. As for the total energy: -4.541 eV per atom. Its symmetry is C2/m (12). Its energy above the most stable polymorph in this dataset is 96 meV per atom.



No. 9
## Ti2CdSb2 (PBE)

Data for crystalline Ti2CdSb2 at its relaxed geometry.

a b c (Å): 7.618 7.618 3.654
angles (deg): 90.00 90.00 90.00
Element x y z (fractional)
Sb 0.159 0.659 0.500
Sb 0.659 0.841 0.500
Sb 0.841 0.341 0.500
Sb 0.341 0.159 0.500
Ti 0.367 0.867 0.000
Ti 0.867 0.633 0.000
Ti 0.633 0.133 0.000
Ti 0.133 0.367 0.000
Cd 0.000 0.000 0.000
Cd 0.500 0.500 0.000

Summary:
Its raw formation energy is -269 meV per atom. As for the crystal system: tetragonal. As for the total energy: -5.259 eV per atom. Its symmetry is P4/mbm (127). Its energy above the most stable polymorph in this dataset is 0 meV per atom.



No. 10
## Dy3ErHg2 (PBE)

Data for crystalline Dy3ErHg2 at its relaxed geometry.

a b c (Å): 5.115 7.008 9.218
angles (deg): 90.00 90.00 90.00
Element x y z (fractional)
Dy 0.000 0.485 0.946
Dy 0.000 0.985 0.054
Dy 0.500 0.672 0.175
Dy 0.500 0.172 0.825
Dy 0.000 0.328 0.327
Dy 0.000 0.828 0.673
Er 0.500 0.515 0.554
Er 0.500 0.015 0.446
Hg 0.500 0.736 0.849
Hg 0.500 0.236 0.151
Hg 0.000 0.265 0.650
Hg 0.000 0.765 0.350

Summary:
For the formation energy, the calculation gives -0.361 eV per atom. As for the crystal system: orthorhombic. As for the total energy: -3.523 eV per atom. Its symmetry is Pmc2_1 (26). Its energy above the most stable polymorph in this dataset is 0 meV per atom.



No. 11
## MgSb2Ru (PBE)

Data for crystalline MgSb2Ru at its relaxed geometry.

a b c (Å): 4.264 4.264 6.859
angles (deg): 77.72 77.72 46.66
Element x y z (fractional)
Mg 0.750 0.750 0.750
Ru 0.250 0.250 0.250
Sb 0.992 0.992 0.040
Sb 0.508 0.508 0.460

Summary:
Its raw formation energy is -22 meV per atom. As for the crystal system: monoclinic. As for the total energy: -4.801 eV per atom. Its symmetry is C2/m (12).



No. 12
## SrThBeN3 (PBE)

Data for crystalline SrThBeN3 at its relaxed geometry.

a b c (Å): 3.513 7.561 7.158
angles (deg): 100.28 90.00 90.00
Element x y z (fractional)
Sr 0.750 0.837 0.793
Sr 0.250 0.163 0.207
Th 0.250 0.649 0.201
Th 0.750 0.351 0.799
Be 0.250 0.071 0.592
Be 0.750 0.929 0.408
N 0.250 0.854 0.492
N 0.750 0.866 0.168
N 0.750 0.431 0.149
N 0.750 0.146 0.508
N 0.250 0.569 0.851
N 0.250 0.134 0.832

Summary:
Its raw formation energy is -967 meV per atom. As for the crystal system: monoclinic. As for the total energy: -7.268 eV per atom. Its symmetry is P2_1/m (11).



No. 13
## LiNdBi2 (PBE)

Data for crystalline LiNdBi2 at its relaxed geometry.

a b c (Å): 4.566 4.566 10.607
angles (deg): 90.00 90.00 90.00
Element x y z (fractional)
Li 0.500 0.500 0.000
Li 0.000 0.000 0.000
Nd 0.000 0.500 0.257
Nd 0.500 0.000 0.743
Bi 0.500 0.000 0.164
Bi 0.000 0.500 0.836
Bi 0.000 0.000 0.500
Bi 0.500 0.500 0.500

Summary:
For the formation energy, the calculation gives -0.683 eV per atom. As for the crystal system: tetragonal. As for the total energy: -4.294 eV per atom. Its symmetry is P4/nmm (129). Its energy above the most stable polymorph in this dataset is 0 meV per atom.



No. 14
## KSiIr2 (PBE)

Data for crystalline KSiIr2 at its relaxed geometry.

a b c (Å): 2.841 2.841 8.909
angles (deg): 90.00 90.00 90.00
Element x y z (fractional)
Ir 0.000 0.000 0.986
Ir 0.500 0.500 0.198
K 0.000 0.000 0.505
Si 0.500 0.500 0.812

Summary:
Its raw formation energy is 232 meV per atom. As for the crystal system: tetragonal. As for the total energy: -5.828 eV per atom. Its symmetry is P4mm (99).



No. 15
## LuInI2 (PBE)

Data for crystalline LuInI2 at its relaxed geometry.

a b c (Å): 4.121 4.121 11.087
angles (deg): 79.29 79.29 60.00
Element x y z (fractional)
I 0.089 0.089 0.732
I 0.911 0.911 0.268
Lu 0.000 0.000 0.000
In 0.500 0.500 0.500

Summary:
Its raw formation energy is -330 meV per atom. As for the crystal system: trigonal. As for the total energy: -2.920 eV per atom. Its symmetry is R-3m (166).



No. 16
## RbPaGe2 (PBE)

Data for crystalline RbPaGe2 at its relaxed geometry.

a b c (Å): 3.335 3.335 9.347
angles (deg): 90.00 90.00 90.00
Element x y z (fractional)
Ge 0.000 0.000 0.789
Ge 0.000 0.000 0.211
Pa 0.500 0.500 0.000
Rb 0.500 0.500 0.500

Summary:
For the formation energy, the calculation gives -0.104 eV per atom. As for the crystal system: tetragonal. As for the total energy: -5.028 eV per atom. Its symmetry is P4/mmm (123).



No. 17
## LuPaAlOs (PBE)

Data for crystalline LuPaAlOs at its relaxed geometry.

a b c (Å): 4.914 4.914 4.914
angles (deg): 60.00 60.00 60.00
Element x y z (fractional)
Pa 0.000 0.000 0.000
Os 0.250 0.250 0.250
Lu 0.500 0.500 0.500
Al 0.750 0.750 0.750

Summary:
For the formation energy, the calculation gives -0.175 eV per atom. As for the crystal system: cubic. As for the total energy: -7.422 eV per atom. Its symmetry is F-43m (216).



No. 18
## Si2MoAu (PBE)

Data for crystalline Si2MoAu at its relaxed geometry.

a b c (Å): 5.168 5.222 2.860
angles (deg): 72.87 92.40 120.42
Element x y z (fractional)
Au 0.000 0.500 0.500
Mo 0.500 0.500 0.000
Si 0.000 0.000 0.000
Si 0.500 0.000 0.500

Summary:
Its raw formation energy is 224 meV per atom. As for the crystal system: monoclinic. As for the total energy: -6.015 eV per atom. Its symmetry is C2/m (12). Its energy above the most stable polymorph in this dataset is 288 meV per atom.



No. 19
## Hf2Al5Co2Ru (PBE)

Data for crystalline Hf2Al5Co2Ru at its relaxed geometry.

a b c (Å): 3.977 8.724 8.724
angles (deg): 90.00 90.00 90.00
Element x y z (fractional)
Hf 0.000 0.674 0.174
Hf 0.000 0.326 0.826
Hf 0.000 0.174 0.326
Hf 0.000 0.826 0.674
Al 0.500 0.205 0.067
Al 0.500 0.795 0.933
Al 0.500 0.067 0.795
Al 0.500 0.705 0.433
Al 0.500 0.933 0.205
Al 0.500 0.295 0.567
Al 0.500 0.567 0.705
Al 0.500 0.433 0.295
Al 0.500 0.500 0.000
Al 0.500 0.000 0.500
Co 0.000 0.119 0.619
Co 0.000 0.881 0.381
Co 0.000 0.619 0.881
Co 0.000 0.381 0.119
Ru 0.000 0.000 0.000
Ru 0.000 0.500 0.500

Summary:
For the formation energy, the calculation gives -0.511 eV per atom. As for the crystal system: tetragonal. As for the total energy: -6.721 eV per atom. Its symmetry is P4/mbm (127).



No. 20
## LiPmMg2Ga2 (PBE)

Data for crystalline LiPmMg2Ga2 at its relaxed geometry.

a b c (Å): 4.694 4.694 6.659
angles (deg): 90.00 90.00 120.00
Element x y z (fractional)
Li 0.000 0.000 0.500
Pm 0.000 0.000 0.000
Mg 0.333 0.667 0.678
Mg 0.667 0.333 0.322
Ga 0.333 0.667 0.229
Ga 0.667 0.333 0.771

Summary:
For the formation energy, the calculation gives -0.362 eV per atom. As for the crystal system: trigonal. As for the total energy: -3.013 eV per atom. Its symmetry is P-3m1 (164).



No. 21
## BiTe2C (PBE)

Data for crystalline BiTe2C at its relaxed geometry.

a b c (Å): 5.177 5.177 5.177
angles (deg): 60.00 60.00 60.00
Element x y z (fractional)
C 0.000 0.000 0.000
Te 0.250 0.250 0.250
Te 0.750 0.750 0.750
Bi 0.500 0.500 0.500

Summary:
Its raw formation energy is 1557 meV per atom. As for the crystal system: cubic. As for the total energy: -3.290 eV per atom. Its symmetry is Fm-3m (225). Its energy above the most stable polymorph in this dataset is 585 meV per atom.



No. 22
## Pr3Sm4Tm (PBE)

Data for crystalline Pr3Sm4Tm at its relaxed geometry.

a b c (Å): 7.324 6.328 11.785
angles (deg): 90.00 90.00 90.00
Element x y z (fractional)
Pr 0.690 0.834 0.000
Pr 0.190 0.501 0.249
Pr 0.690 0.499 0.251
Pr 0.190 0.166 0.500
Pr 0.690 0.499 0.749
Pr 0.190 0.501 0.751
Sm 0.188 0.835 0.000
Sm 0.439 0.334 0.000
Sm 0.939 0.001 0.249
Sm 0.439 0.999 0.251
Sm 0.939 0.666 0.500
Sm 0.688 0.165 0.500
Sm 0.439 0.999 0.749
Sm 0.939 0.001 0.751
Tm 0.940 0.334 0.000
Tm 0.440 0.666 0.500

Summary:
For the formation energy, the calculation gives 0.003 eV per atom. As for the crystal system: orthorhombic. As for the total energy: -4.708 eV per atom. Its symmetry is Pmn2_1 (31). Its energy above the most stable polymorph in this dataset is 0 meV per atom.



No. 23
## LiPuTiPt2 (PBE)

Data for crystalline LiPuTiPt2 at its relaxed geometry.

a b c (Å): 3.993 3.993 6.555
angles (deg): 107.73 107.73 90.00
Last column: magnetic moment on the atom in μB.
Element x y z (fractional)
Li 0.250 0.750 0.500  0.01
Pu 0.000 0.000 0.000  5.27
Ti 0.750 0.250 0.500  0.23
Pt 0.614 0.614 0.228  -0.02
Pt 0.386 0.386 0.772  -0.02

Summary:
For the formation energy, the calculation gives -0.644 eV per atom. As for the crystal system: tetragonal. As for the total energy: -7.889 eV per atom. Its symmetry is I-4m2 (119).